Record 1
Material: Ac6Zn5Ga
Method: DFT, PBE
State: relaxed

Structure (POSCAR):
```
Ac6Zn5Ga
1.0
5.2368 -0.0314 1.7452
0.0419 7.8276 0.0139
-0.0038 -0.0157 8.7410
Ac Zn Ga
6 5 1
Direct
0.8338 0.7516 0.3325
0.8338 0.2484 0.3325
0.5000 0.2480 0.0000
0.5000 0.7520 0.0000
0.1662 0.7516 0.6675
0.1662 0.2484 0.6675
0.6664 0.5000 0.6671
0.3313 0.0000 0.3374
0.0000 0.5000 0.0000
0.6687 0.0000 0.6626
0.3336 0.5000 0.3329
0.0000 0.0000 0.0000
```

Output
Energy of formation from the pure elements: -3.38 eV/f.u.

---

Record 2
Material: Ac2ZnGa
Method: DFT, PBE
State: relaxed

Structure (POSCAR):
```
Ac2ZnGa
1.0
3.9042 0.0000 0.0000
0.0000 5.5422 0.0000
0.0000 0.0000 5.5422
Ac Zn Ga
2 1 1
Direct
0.0000 0.0000 0.5000
0.0000 0.5000 0.0000
0.5000 0.5000 0.5000
0.5000 0.0000 0.0000
```

Output
Energy of formation from the pure elements: -1.38 eV/f.u.

---

Record 3
Material: AcZn3Ga3
Method: DFT, PBE
State: relaxed

Structure (POSCAR):
```
AcZn3Ga3
1.0
-6.9559 1.9348 2.0821
-2.8621 -2.6220 6.4340
-1.1556 4.3574 5.6495
Ac Zn Ga
2 6 6
Direct
0.3740 0.3740 0.8781
0.6260 0.6260 0.1219
0.0623 0.6918 0.1837
0.0622 0.0623 0.1837
0.6918 0.0622 0.1837
0.3082 0.9378 0.8163
0.9378 0.9377 0.8163
0.9377 0.3082 0.8163
0.6832 0.6829 0.5745
0.6829 0.0594 0.5745
0.0594 0.6832 0.5745
0.9406 0.3168 0.4255
0.3171 0.9406 0.4255
0.3168 0.3171 0.4255
```

Output
Energy of formation from the pure elements: -1.83 eV/f.u.

---

> Look up the energy of formation from the pure elements of the second one.

-1.38 eV/f.u.